A relaxed CsRe3N crystal, computed with PBE.

Calculated values
As for the total energy: -3.924 eV/atom.

```
data_CsRe3N
_chemical_formula_sum 'Cs1 Re3 N1'
_cell_length_a 4.9193
_cell_length_b 4.9193
_cell_length_c 4.9193
_cell_angle_alpha 90.00
_cell_angle_beta 90.00
_cell_angle_gamma 90.00
_symmetry_space_group_name_H-M 'P 1'
_symmetry_Int_Tables_number 1
loop_
_symmetry_equiv_pos_as_xyz
'x,y,z'
loop_
_atom_site_label
_atom_site_type_symbol
_atom_site_fract_x
_atom_site_fract_y
_atom_site_fract_z
_atom_site_occupancy
Cs1 Cs 0.0000 0.0000 0.0000 1
Re1 Re 0.0000 0.5000 0.0000 1
Re2 Re 0.0000 0.0000 0.5000 1
N1 N 0.5000 0.5000 0.5000 1
Re3 Re 0.5000 0.0000 0.0000 1
```

***

A relaxed CsRe2N3 crystal, computed with PBE.

Calculated values
As for the total energy: -8.225 eV/atom.

```
data_CsRe2N3
_chemical_formula_sum 'Cs4 Re8 N12'
_cell_length_a 9.0151
_cell_length_b 9.0151
_cell_length_c 7.3632
_cell_angle_alpha 70.22
_cell_angle_beta 70.22
_cell_angle_gamma 108.02
_symmetry_space_group_name_H-M 'P 1'
_symmetry_Int_Tables_number 1
loop_
_symmetry_equiv_pos_as_xyz
'x,y,z'
loop_
_atom_site_label
_atom_site_type_symbol
_atom_site_fract_x
_atom_site_fract_y
_atom_site_fract_z
_atom_site_occupancy
N1 N 0.6614 0.9031 0.1712 1
Re1 Re 0.4453 0.8671 0.3947 1
Re2 Re 0.5547 0.1329 0.6053 1
Cs1 Cs 0.4882 0.5118 0.2500 1
N2 N 0.3386 0.0969 0.8288 1
N3 N 0.4663 0.8766 0.6622 1
Cs2 Cs 0.5118 0.4882 0.7500 1
N4 N 0.9031 0.6614 0.6712 1
Re3 Re 0.6530 0.0948 0.9577 1
N5 N 0.2322 0.6296 0.6163 1
N6 N 0.1234 0.5337 0.8378 1
N7 N 0.5337 0.1234 0.3378 1
N8 N 0.7678 0.3704 0.3837 1
Re4 Re 0.0948 0.6530 0.4577 1
Re5 Re 0.9052 0.3470 0.5423 1
Cs3 Cs 0.9654 0.0346 0.2500 1
N9 N 0.0969 0.3386 0.3288 1
Re6 Re 0.3470 0.9052 0.0423 1
Cs4 Cs 0.0346 0.9654 0.7500 1
N10 N 0.6296 0.2322 0.1163 1
Re7 Re 0.8671 0.4453 0.8947 1
Re8 Re 0.1329 0.5547 0.1053 1
N11 N 0.3704 0.7678 0.8837 1
N12 N 0.8766 0.4663 0.1622 1
```

***

A relaxed CsRe3N crystal, computed with PBE.

Calculated values
As for the total energy: -7.361 eV/atom.

```
data_CsRe3N
_chemical_formula_sum 'Cs1 Re3 N1'
_cell_length_a 4.3014
_cell_length_b 4.3014
_cell_length_c 4.3014
_cell_angle_alpha 90.00
_cell_angle_beta 90.00
_cell_angle_gamma 90.00
_symmetry_space_group_name_H-M 'P 1'
_symmetry_Int_Tables_number 1
loop_
_symmetry_equiv_pos_as_xyz
'x,y,z'
loop_
_atom_site_label
_atom_site_type_symbol
_atom_site_fract_x
_atom_site_fract_y
_atom_site_fract_z
_atom_site_occupancy
N1 N 0.0000 0.0000 0.0000 1
Cs1 Cs 0.5000 0.5000 0.5000 1
Re1 Re 0.0000 0.5000 0.0000 1
Re2 Re 0.0000 0.0000 0.5000 1
Re3 Re 0.5000 0.0000 0.0000 1
```

***

no.,raw formation energy (meV/atom),density of states at the Fermi level (states/eV/atom)
1,5380,2.37
2,229,0.33
3,1944,1.48